1.
Computed, not measured: a relaxed Li4Dy3PuTe8 crystal at the PBE level of DFT.

Structure (CIF):
```
data_Li4Dy3PuTe8
_chemical_formula_sum 'Li12 Dy9 Pu3 Te24'
_cell_length_a 8.7187
_cell_length_b 8.7187
_cell_length_c 21.1490
_cell_angle_alpha 90.00
_cell_angle_beta 90.00
_cell_angle_gamma 120.00
_symmetry_space_group_name_H-M 'R -3 m'
_symmetry_Int_Tables_number 166
_symmetry_space_group_name_Hall '-R 3 2"'
loop_
_atom_site_label
_atom_site_type_symbol
_atom_site_fract_x
_atom_site_fract_y
_atom_site_fract_z
_atom_site_occupancy
Li1 Li 0.0000 0.0000 0.0000 1
Li2 Li 0.0000 0.5000 0.0000 1
Dy1 Dy 0.0000 0.5000 0.5000 1
Pu1 Pu 0.0000 0.0000 0.5000 1
Te1 Te 0.0000 0.0000 0.2517 1
Te2 Te 0.0038 0.5019 0.7478 1
```

Summary:
The magnetic moment comes out at 15.000 μB/cell. For the volume, the calculation gives 1392.22 Å³ per cell. The calculation puts the raw total energy at -241.0 eV per cell.



2.
Computed, not measured: a relaxed Li2DyPuTe4 crystal at the PBE level of DFT.

Structure (CIF):
```
data_Li2DyPuTe4
_chemical_formula_sum 'Li2 Dy1 Pu1 Te4'
_cell_length_a 7.473
_cell_length_b 4.378
_cell_length_c 7.579
_cell_angle_alpha 90.00
_cell_angle_beta 109.88
_cell_angle_gamma 90.00
_symmetry_space_group_name_H-M 'P 1 2/m 1'
_symmetry_Int_Tables_number 10
loop_
_symmetry_equiv_pos_as_xyz
'x,y,z'
'-x,-y,-z'
'-x,y,-z'
'x,-y,z'
loop_
_atom_site_label
_atom_site_type_symbol
_atom_site_fract_x
_atom_site_fract_y
_atom_site_fract_z
_atom_site_occupancy
Li1 Li 0.000 0.000 0.000 1
Li2 Li 0.000 0.500 0.500 1
Dy1 Dy 0.500 0.000 0.500 1
Pu1 Pu 0.500 0.500 0.000 1
Te1 Te 0.243 0.000 0.745 1
Te2 Te 0.243 0.500 0.252 1
```

Summary:
The magnetic moment comes out at 5.000 μB/cell. For the volume, the calculation gives 233.18 Å³ per cell. The calculation puts the raw total energy at -44.5 eV per cell.



3.
Computed, not measured: a relaxed LiDy2PuTl4 crystal at the PBE level of DFT.

Structure (CIF):
```
data_LiDy2PuTl4
_chemical_formula_sum 'Li3 Dy6 Pu3 Tl12'
_cell_length_a 5.2729
_cell_length_b 5.2729
_cell_length_c 26.4397
_cell_angle_alpha 90.00
_cell_angle_beta 90.00
_cell_angle_gamma 120.00
_symmetry_space_group_name_H-M 'R -3 m'
_symmetry_Int_Tables_number 166
_symmetry_space_group_name_Hall '-R 3 2"'
loop_
_atom_site_label
_atom_site_type_symbol
_atom_site_fract_x
_atom_site_fract_y
_atom_site_fract_z
_atom_site_occupancy
Li1 Li 0.0000 0.0000 0.0000 1
Dy1 Dy 0.0000 0.0000 0.2521 1
Pu1 Pu 0.0000 0.0000 0.5000 1
Tl1 Tl 0.0000 0.0000 0.1215 1
Tl2 Tl 0.0000 0.0000 0.3721 1
```

Summary:
The magnetic moment comes out at 19.095 μB/cell. For the volume, the calculation gives 636.63 Å³ per cell. As for the energy of formation: -0.212 eV/atom.